Record 1
Compound: La2Sm2CF5
Source: OQMD
Functional: PBE
Structure: relaxed

Calculated values
Crystal system   monoclinic
Raw total energy   -6.4885 eV/atom
V   171 Å³/f.u.

Cell: 7.908 7.908 7.056 Å, 115.60 115.60 25.62°
Sites, in units of the cell vectors:
La  0.185  0.185  0.188
La  0.815  0.815  0.812
Sm  0.498  0.498  0.238
Sm  0.502  0.502  0.762
C  0.000  0.000  0.000
F  0.000  0.000  0.500
F  0.328  0.328  0.101
F  0.331  0.331  0.552
F  0.669  0.669  0.448
F  0.672  0.672  0.899

---

Record 2
Compound: Na2LuC2O6F
Source: OQMD
Functional: PBE
Structure: relaxed

Calculated values
Crystal system   monoclinic
Raw total energy   -6.9843 eV/atom
V   139 Å³/f.u.

Cell: 9.008 9.008 10.923 Å, 92.88 92.88 38.80°
Sites, in units of the cell vectors:
Na  0.018  0.202  0.379
Na  0.153  0.336  0.140
Na  0.202  0.018  0.879
Na  0.336  0.153  0.640
Na  0.664  0.847  0.360
Na  0.798  0.982  0.121
Na  0.847  0.664  0.860
Na  0.982  0.798  0.621
Lu  0.283  0.595  0.371
Lu  0.405  0.717  0.129
Lu  0.595  0.283  0.871
Lu  0.717  0.405  0.629
C  0.142  0.732  0.884
C  0.211  0.372  0.419
C  0.268  0.858  0.616
C  0.372  0.211  0.919
C  0.628  0.789  0.081
C  0.732  0.142  0.384
C  0.789  0.628  0.581
C  0.858  0.268  0.116
O  0.071  0.083  0.083
O  0.083  0.071  0.583
O  0.105  0.505  0.322
O  0.195  0.263  0.928
O  0.200  0.590  0.798
O  0.263  0.195  0.428
O  0.270  0.425  0.507
O  0.316  0.675  0.934
O  0.325  0.684  0.566
O  0.410  0.800  0.702
O  0.425  0.270  0.007
O  0.495  0.895  0.178
O  0.505  0.105  0.822
O  0.575  0.730  0.993
O  0.590  0.200  0.298
O  0.675  0.316  0.434
O  0.684  0.325  0.066
O  0.730  0.575  0.493
O  0.737  0.805  0.572
O  0.800  0.410  0.202
O  0.805  0.737  0.072
O  0.895  0.495  0.678
O  0.917  0.929  0.417
O  0.929  0.917  0.917
F  0.195  0.687  0.178
F  0.313  0.805  0.322
F  0.687  0.195  0.678
F  0.805  0.313  0.822

---

Record 3
Compound: SmNbCF2
Source: OQMD
Functional: PBE
Structure: relaxed

Calculated values
Crystal system   trigonal
Raw total energy   -7.4252 eV/atom
V   67 Å³/f.u.

Cell: 3.400 3.400 6.739 Å, 90.00 90.00 120.00°
Sites, in units of the cell vectors:
Sm  0.000  0.000  0.000
Nb  0.333  0.667  0.624
C  0.667  0.333  0.767
F  0.000  0.000  0.434
F  0.333  0.667  0.193

---

Record 4
Compound: TbNbCF2
Source: OQMD
Functional: PBE
Structure: relaxed

Calculated values
Crystal system   trigonal
Raw total energy   -7.4704 eV/atom
V   66 Å³/f.u.

Cell: 3.361 3.361 6.705 Å, 90.00 90.00 120.00°
Sites, in units of the cell vectors:
Tb  0.000  0.000  0.000
Nb  0.667  0.333  0.372
C  0.333  0.667  0.222
F  0.000  0.000  0.567
F  0.667  0.333  0.815

---

Record 5
Compound: Nd2CF2
Source: OQMD
Functional: PBE
Structure: relaxed

Calculated values
Crystal system   trigonal
Raw total energy   -6.7630 eV/atom
V   82 Å³/f.u.

Cell: 3.786 3.786 6.568 Å, 90.00 90.00 120.00°
Sites, in units of the cell vectors:
Nd  0.333  0.667  0.218
Nd  0.667  0.333  0.782
C  0.000  0.000  0.000
F  0.333  0.667  0.611
F  0.667  0.333  0.389

---

Record 6
Compound: Pr2Nd2CF5
Source: OQMD
Functional: PBE
Structure: relaxed

Calculated values
Crystal system   monoclinic
Raw total energy   -6.3799 eV/atom
V   175 Å³/f.u.

Cell: 7.771 7.771 6.984 Å, 115.02 115.02 27.50°
Sites, in units of the cell vectors:
Pr  0.004  0.004  0.260
Pr  0.996  0.996  0.740
Nd  0.320  0.320  0.316
Nd  0.680  0.680  0.684
C  0.500  0.500  0.500
F  0.179  0.179  0.925
F  0.185  0.185  0.451
F  0.500  0.500  0.000
F  0.815  0.815  0.549
F  0.821  0.821  0.075